No. 1
# Pt2SBr3 (PBE, optimized geometry)
# raw total energy	-3.536	eV/atom
data_Pt2SBr3
_chemical_formula_sum 'Pt4 S2 Br6'
_cell_length_a 7.5766
_cell_length_b 7.5766
_cell_length_c 6.3017
_cell_angle_alpha 90.00
_cell_angle_beta 90.00
_cell_angle_gamma 120.00
_symmetry_space_group_name_H-M 'P -3 m 1'
_symmetry_Int_Tables_number 164
_symmetry_space_group_name_Hall '-P 3 2"'
loop_
_atom_site_label
_atom_site_type_symbol
_atom_site_fract_x
_atom_site_fract_y
_atom_site_fract_z
Pt1 Pt 0.0000 0.0000 0.0000
Pt2 Pt 0.0000 0.5000 0.0000
S1 S 0.3333 0.6667 0.1565
Br1 Br 0.1633 0.3266 0.7553

No. 2
# AcSm2DyEr5 (PBE, optimized geometry)
# DFT formation energy	0.265	eV/atom
# raw total energy	-4.286	eV/atom
data_AcSm2DyEr5
_chemical_formula_sum 'Ac4 Sm8 Dy4 Er20'
_cell_length_a 8.848
_cell_length_b 8.848
_cell_length_c 15.316
_cell_angle_alpha 90.00
_cell_angle_beta 90.00
_cell_angle_gamma 90.00
_symmetry_space_group_name_H-M 'I 4/m c m'
_symmetry_Int_Tables_number 140
_symmetry_space_group_name_Hall '-I 4 2c'
loop_
_atom_site_label
_atom_site_type_symbol
_atom_site_fract_x
_atom_site_fract_y
_atom_site_fract_z
Ac1 Ac 0.000 0.000 0.250
Sm1 Sm 0.115 0.385 0.000
Dy1 Dy 0.000 0.500 0.250
Er1 Er 0.000 0.000 0.000
Er2 Er 0.206 0.294 0.369

No. 3
# Ac3PmIn4 (PBE, optimized geometry)
# DFT formation energy	-0.438	eV/atom
# raw total energy	-3.942	eV/atom
data_Ac3PmIn4
_chemical_formula_sum 'Ac3 Pm1 In4'
_cell_length_a 4.031
_cell_length_b 4.031
_cell_length_c 16.276
_cell_angle_alpha 90.00
_cell_angle_beta 90.00
_cell_angle_gamma 90.00
_symmetry_space_group_name_H-M 'P 4/m m m'
_symmetry_Int_Tables_number 123
_symmetry_space_group_name_Hall '-P 4 2'
loop_
_atom_site_label
_atom_site_type_symbol
_atom_site_fract_x
_atom_site_fract_y
_atom_site_fract_z
Ac1 Ac 0.000 0.000 0.000
Ac2 Ac 0.000 0.000 0.259
Pm1 Pm 0.000 0.000 0.500
In1 In 0.500 0.500 0.130
In2 In 0.500 0.500 0.392

No. 4
# PuZrNb2 (PBE, optimized geometry)
# DFT formation energy	0.214	eV/atom
# raw total energy	-10.541	eV/atom
# E above lowest polymorph	18	meV/atom
data_PuZrNb2
_chemical_formula_sum 'Pu1 Zr1 Nb2'
_cell_length_a 4.913
_cell_length_b 4.913
_cell_length_c 3.399
_cell_angle_alpha 90.00
_cell_angle_beta 90.00
_cell_angle_gamma 90.00
_symmetry_space_group_name_H-M 'P 4/m m m'
_symmetry_Int_Tables_number 123
_symmetry_space_group_name_Hall '-P 4 2'
loop_
_atom_site_label
_atom_site_type_symbol
_atom_site_fract_x
_atom_site_fract_y
_atom_site_fract_z
Pu1 Pu 0.000 0.000 0.000
Zr1 Zr 0.500 0.500 0.000
Nb1 Nb 0.000 0.500 0.500

No. 5
# Tb5TeRu2 (PBE, optimized geometry)
# raw total energy	-6.184	eV/atom
data_Tb5TeRu2
_chemical_formula_sum 'Tb20 Te4 Ru8'
_cell_length_a 7.814
_cell_length_b 7.814
_cell_length_c 13.431
_cell_angle_alpha 90.00
_cell_angle_beta 90.00
_cell_angle_gamma 90.00
_symmetry_space_group_name_H-M 'I 4/m c m'
_symmetry_Int_Tables_number 140
_symmetry_space_group_name_Hall '-I 4 2c'
loop_
_atom_site_label
_atom_site_type_symbol
_atom_site_fract_x
_atom_site_fract_y
_atom_site_fract_z
Tb1 Tb 0.000 0.000 0.000
Tb2 Tb 0.154 0.346 0.133
Te1 Te 0.000 0.000 0.250
Ru1 Ru 0.142 0.358 0.500

No. 6
# LiCa6Cu2 (PBE, optimized geometry)
# DFT formation energy	-0.065	eV/atom
# raw total energy	-2.522	eV/atom
data_LiCa6Cu2
_chemical_formula_sum 'Li4 Ca24 Cu8'
_cell_length_a 9.940
_cell_length_b 10.162
_cell_length_c 11.056
_cell_angle_alpha 90.00
_cell_angle_beta 90.00
_cell_angle_gamma 90.00
_symmetry_space_group_name_H-M 'I m m m'
_symmetry_Int_Tables_number 71
_symmetry_space_group_name_Hall '-I 2 2'
loop_
_atom_site_label
_atom_site_type_symbol
_atom_site_fract_x
_atom_site_fract_y
_atom_site_fract_z
Li1 Li 0.000 0.000 0.000
Li2 Li 0.000 0.000 0.500
Ca1 Ca 0.000 0.200 0.238
Ca2 Ca 0.190 0.500 0.174
Ca3 Ca 0.212 0.316 0.500
Cu1 Cu 0.000 0.349 0.000
Cu2 Cu 0.000 0.500 0.386

No. 7
# HfNbInSi2 (PBE, optimized geometry)
# raw total energy	-5.024	eV/atom
data_HfNbInSi2
_chemical_formula_sum 'Hf1 Nb1 In1 Si2'
_cell_length_a 4.920
_cell_length_b 4.920
_cell_length_c 5.325
_cell_angle_alpha 90.00
_cell_angle_beta 90.00
_cell_angle_gamma 90.00
_symmetry_space_group_name_H-M 'P 4/m m m'
_symmetry_Int_Tables_number 123
_symmetry_space_group_name_Hall '-P 4 2'
loop_
_atom_site_label
_atom_site_type_symbol
_atom_site_fract_x
_atom_site_fract_y
_atom_site_fract_z
Hf1 Hf 0.000 0.000 0.000
Nb1 Nb 0.500 0.500 0.000
In1 In 0.000 0.000 0.500
Si1 Si 0.000 0.500 0.500

No. 8
# LiNbHg (PBE, optimized geometry)
# DFT formation energy	0.399	eV/atom
# raw total energy	-3.696	eV/atom
# E above lowest polymorph	412	meV/atom
data_LiNbHg
_chemical_formula_sum 'Li2 Nb2 Hg2'
_cell_length_a 4.8543
_cell_length_b 4.8543
_cell_length_c 5.9029
_cell_angle_alpha 90.00
_cell_angle_beta 90.00
_cell_angle_gamma 120.00
_symmetry_space_group_name_H-M 'P -6 m 2'
_symmetry_Int_Tables_number 187
_symmetry_space_group_name_Hall 'P -6 2'
loop_
_atom_site_label
_atom_site_type_symbol
_atom_site_fract_x
_atom_site_fract_y
_atom_site_fract_z
Li1 Li 0.0000 0.0000 0.0000
Li2 Li 0.0000 0.0000 0.5000
Nb1 Nb 0.3333 0.6667 0.2033
Hg1 Hg 0.6667 0.3333 0.2508

No. 9
# PrHoIr (PBE, optimized geometry)
# DFT formation energy	-0.504	eV/atom
# raw total energy	-6.577	eV/atom
# E above lowest polymorph	105	meV/atom
data_PrHoIr
_chemical_formula_sum 'Pr1 Ho1 Ir1'
_cell_length_a 4.1814
_cell_length_b 4.1814
_cell_length_c 6.2662
_cell_angle_alpha 90.00
_cell_angle_beta 90.00
_cell_angle_gamma 120.00
_symmetry_space_group_name_H-M 'P 3 m 1'
_symmetry_Int_Tables_number 156
_symmetry_space_group_name_Hall 'P 3 -2"'
loop_
_atom_site_label
_atom_site_type_symbol
_atom_site_fract_x
_atom_site_fract_y
_atom_site_fract_z
Pr1 Pr 0.0000 0.0000 0.0000
Ho1 Ho 0.6667 0.3333 0.4577
Ir1 Ir 0.3333 0.6667 0.2446

No. 10
# AuS6Br (PBE, optimized geometry)
# raw total energy	-3.567	eV/atom
data_AuS6Br
_chemical_formula_sum 'Au1 S6 Br1'
_cell_length_a 4.666
_cell_length_b 8.299
_cell_length_c 8.394
_cell_angle_alpha 115.43
_cell_angle_beta 99.70
_cell_angle_gamma 101.59
_symmetry_space_group_name_H-M 'P -1'
_symmetry_Int_Tables_number 2
_symmetry_space_group_name_Hall '-P 1'
loop_
_atom_site_label
_atom_site_type_symbol
_atom_site_fract_x
_atom_site_fract_y
_atom_site_fract_z
Au1 Au 0.000 0.000 0.000
S1 S 0.124 0.553 0.295
S2 S 0.169 0.298 0.748
S3 S 0.432 0.259 0.562
Br1 Br 0.500 0.000 0.000

No. 11
# FePd2Br (PBE, optimized geometry)
# raw total energy	-4.738	eV/atom
# E above lowest polymorph	0	meV/atom
data_FePd2Br
_chemical_formula_sum 'Fe4 Pd8 Br4'
_cell_length_a 7.232
_cell_length_b 7.232
_cell_length_c 5.444
_cell_angle_alpha 90.00
_cell_angle_beta 90.00
_cell_angle_gamma 90.00
_symmetry_space_group_name_H-M 'I -4 2 d'
_symmetry_Int_Tables_number 122
_symmetry_space_group_name_Hall 'I -4 2bw'
loop_
_atom_site_label
_atom_site_type_symbol
_atom_site_fract_x
_atom_site_fract_y
_atom_site_fract_z
Fe1 Fe 0.000 0.000 0.000
Pd1 Pd 0.228 0.250 0.125
Br1 Br 0.000 0.000 0.500

No. 12
# Ba2Sr3Li (PBE, optimized geometry)
# DFT formation energy	0.084	eV/atom
# raw total energy	-1.717	eV/atom
# E above lowest polymorph	39	meV/atom
data_Ba2Sr3Li
_chemical_formula_sum 'Ba2 Sr3 Li1'
_cell_length_a 4.200
_cell_length_b 6.694
_cell_length_c 11.566
_cell_angle_alpha 90.00
_cell_angle_beta 90.00
_cell_angle_gamma 90.00
_symmetry_space_group_name_H-M 'P m m 2'
_symmetry_Int_Tables_number 25
_symmetry_space_group_name_Hall 'P 2 -2'
loop_
_atom_site_label
_atom_site_type_symbol
_atom_site_fract_x
_atom_site_fract_y
_atom_site_fract_z
Ba1 Ba 0.000 0.000 0.000
Ba2 Ba 0.000 0.500 0.485
Sr1 Sr 0.500 0.000 0.641
Sr2 Sr 0.500 0.500 0.169
Sr3 Sr 0.500 0.500 0.825
Li1 Li 0.500 0.000 0.322